Compound: Ac2La2Y7
Source: Alexandria
Functional: PBE-GGA
Structure: relaxed

Cell lengths 3.771, 10.232, 12.016 Å; angles 66.73, 99.02, 111.61 degrees
Fractional coordinates of all 11 atoms:
Ac1 0.184 0.785 0.799
Ac2 0.816 0.215 0.201
La1 0.606 0.234 0.742
La2 0.394 0.766 0.258
Y1 0.361 0.405 0.909
Y2 0.882 0.104 0.555
Y3 0.639 0.595 0.091
Y4 0.118 0.896 0.445
Y5 0.630 0.427 0.406
Y6 0.000 0.000 0.000
Y7 0.370 0.573 0.594

The space group is C2/m. Its crystal system is monoclinic.

***

Compound: BaMg3Zn2
Source: Alexandria
Functional: PBE-GGA
Structure: relaxed

Cell lengths 4.730, 10.571, 10.571 Å; angles 120.00, 90.00, 90.00 degrees
Fractional coordinates of all 18 atoms:
Ba1 0.500 0.000 0.000
Ba2 0.000 0.667 0.333
Ba3 0.000 0.333 0.667
Mg1 0.500 0.500 0.500
Mg2 0.500 0.000 0.500
Mg3 0.500 0.500 0.000
Mg4 0.000 0.702 0.702
Mg5 0.000 0.000 0.298
Mg6 0.000 0.298 0.000
Mg7 0.000 0.298 0.298
Mg8 0.000 0.000 0.702
Mg9 0.000 0.702 0.000
Zn1 0.500 0.811 0.189
Zn2 0.500 0.377 0.189
Zn3 0.500 0.811 0.623
Zn4 0.500 0.189 0.811
Zn5 0.500 0.623 0.811
Zn6 0.500 0.189 0.377

The space group is P6/mmm. Its crystal system is hexagonal. The value obtained for the energy relative to the lowest polymorph listed for this composition is 0.000 eV/atom.

***

Number 1: formation enthalpy at 0 K 0.10 eV per atom. Number 2: formation enthalpy at 0 K -0.14 eV per atom.